Entry from Alexandria: an optimized crystal structure of Pa2VP3Ir4 (PBE).

As for the formation energy from the elements: -0.817 eV per atom. The total energy is -8.7957 eV per atom. The value obtained for the density of states at the Fermi level is 1.06 states/eV per atom.

It has space group P-4m2 (No. 115), with a = 4.036 Å, b = 4.036 Å, c = 10.203 Å, α = 90.00°, β = 90.00° and γ = 90.00°. The asymmetric unit holds Pa at (0.000, 0.500, 0.244), V at (0.000, 0.000, 0.500), P at (0.000, 0.500, 0.863), P at (0.500, 0.500, 0.500), Ir at (0.000, 0.000, 0.000), Ir at (0.000, 0.500, 0.634) and Ir at (0.500, 0.500, 0.000).